The following is a PBE-GGA calculation of crystalline Pr3Ga2GePd9 at its relaxed geometry, from the Alexandria database.

abc: 6.586 6.586 8.646
angles: 90.00 90.00 120.00
Fractional coordinates of all 15 atoms:
Pr  0.000  0.000  0.000
Pr  0.333  0.667  0.702
Pr  0.667  0.333  0.298
Ga  0.333  0.667  0.184
Ga  0.667  0.333  0.816
Ge  0.000  0.000  0.500
Pd  0.000  0.500  0.000
Pd  0.141  0.282  0.287
Pd  0.141  0.859  0.287
Pd  0.282  0.141  0.713
Pd  0.500  0.000  0.000
Pd  0.500  0.500  0.000
Pd  0.718  0.859  0.287
Pd  0.859  0.141  0.713
Pd  0.859  0.718  0.713

Raw total energy: -79.7 eV/cell
Crystal system: trigonal
Space-group type: No. 164